The following is a PBE calculation of a relaxed structure of LaTc2Ag, from the Alexandria database.

Unit cell a=5.3094 b=5.3094 c=5.3094 alpha=136.46 beta=125.13 gamma=72.52
Element x y z (fractional)
Ag 0.4889 0.4889 0.0000
La 0.7698 0.2698 0.5000
Tc 0.0381 0.0381 0.0000
Tc 0.2032 0.7032 0.5000

Output
The value obtained for the energy of formation from the pure elements is 381 meV/atom. The calculation puts the energy above the most stable polymorph in this dataset at 5.12 kcal/mol of atoms. As for the final energy: -6.75 eV per atom. Its crystal system is orthorhombic.